# Sr3Fe2MoO9, optimized geometry, DFT PBE with a Hubbard U
data_Sr3Fe2MoO9
_chemical_formula_sum 'Sr3 Fe2 Mo1 O9'
_cell_length_a 5.6423
_cell_length_b 5.6423
_cell_length_c 6.9396
_cell_angle_alpha 90.00
_cell_angle_beta 90.00
_cell_angle_gamma 120.00
_space_group_name_H-M_alt 'P -3 m 1'
_space_group_IT_number 164
_space_group_name_Hall '-P 3 2"'
loop_
_atom_site_label
_atom_site_fract_x
_atom_site_fract_y
_atom_site_fract_z
_atom_site_occupancy
Sr1 0.0000 0.0000 0.0000 1
Sr2 0.3333 0.6667 0.6883 1
Fe1 0.3333 0.6667 0.1570 1
Mo1 0.0000 0.0000 0.5000 1
O1 0.0000 0.5000 0.0000 1
O2 0.1627 0.3254 0.3392 1
# Spin magnetization in μB/f.u.: 10.00
# E above lowest polymorph in meV/atom: 7.2
# Crystal system: trigonal